# LiAcCd4In2 (PBE, optimized geometry)
data_LiAcCd4In2
_chemical_formula_sum 'Li1 Ac1 Cd4 In2'
_symmetry_space_group_name_H-M 'P 1'
_symmetry_Int_Tables_number 1
_symmetry_space_group_name_Hall 'P 1'
_cell_length_a 5.031
_cell_length_b 5.031
_cell_length_c 9.547
_cell_angle_alpha 74.72
_cell_angle_beta 74.72
_cell_angle_gamma 60.00
loop_
_atom_site_label
_atom_site_fract_x
_atom_site_fract_y
_atom_site_fract_z
Li1 0.500 0.500 0.500
Ac1 0.000 0.000 0.000
Cd1 0.396 0.396 0.812
Cd2 0.866 0.866 0.403
Cd3 0.134 0.134 0.597
Cd4 0.604 0.604 0.188
In1 0.751 0.751 0.746
In2 0.249 0.249 0.254
# calculated formation energy	-229	meV per atom
# N(E_F)	2.6	states/eV/f.u.
# volume	24.92	A^3/atom
# M_tot	0.00	μB/f.u.